This record from Alexandria describes a geometry-optimized Pr3TeO7 structure. The functional is PBE.

Geometry as POSCAR:
```
Pr3TeO7
1.0
5.559 -3.863 0.000
5.559 3.863 0.000
0.000 0.000 7.913
Pr Te O
6 2 14
Cartesian
0.000 0.000 0.000
0.000 0.000 3.956
2.994 1.658 5.935
2.994 -1.658 1.978
8.125 1.658 5.935
8.125 -1.658 1.978
5.559 0.000 0.000
5.559 0.000 3.956
1.468 0.139 1.978
1.468 -0.139 5.935
4.145 1.493 0.223
4.145 1.493 3.734
5.559 0.508 5.935
6.974 1.493 0.223
6.974 1.493 3.734
4.145 -1.493 4.179
4.145 -1.493 7.690
5.559 -0.508 1.978
6.974 -1.493 4.179
6.974 -1.493 7.690
9.651 0.139 1.978
9.651 -0.139 5.935
```

## Properties
Energy relative to the elements, uncorrected = -2.626 eV/atom

This record from Alexandria describes a geometry-optimized Nd2Tm3Al structure. The functional is PBE.

Geometry as POSCAR:
```
Nd2Tm3Al
1.0
4.810 0.000 0.000
0.000 14.898 0.000
0.000 0.000 4.866
Nd Tm Al
4 6 2
Cartesian
0.000 2.374 0.000
0.000 12.525 0.000
2.405 5.076 0.000
2.405 9.823 0.000
0.000 0.000 2.433
0.000 5.043 2.433
0.000 9.856 2.433
2.405 2.407 2.433
2.405 7.449 2.433
2.405 12.492 2.433
0.000 7.449 0.000
2.405 0.000 0.000
```

## Properties
Energy of formation = -0.47 eV/f.u.

This record from Alexandria describes a geometry-optimized Rb5Br4Cl structure. The functional is PBE.

Geometry as POSCAR:
```
Rb5Br4Cl
1.0
-2.447 3.476 12.327
2.447 -3.476 12.327
2.447 3.476 -12.327
Rb Br Cl
5 4 1
Cartesian
0.000 0.000 0.000
0.000 0.000 4.939
0.000 0.000 9.995
0.000 0.000 14.659
0.000 0.000 19.714
2.447 0.000 2.450
2.447 0.000 7.442
0.000 3.476 4.885
0.000 3.476 9.877
0.000 3.476 0.000
```

## Properties
Energy relative to the elements, uncorrected = -1.785 eV/atom

This record from Alexandria describes a geometry-optimized RbIBr structure. The functional is PBE.

Geometry as POSCAR:
```
RbIBr
1.0
4.814 0.000 0.000
0.000 4.814 0.000
0.000 0.000 11.932
Rb I Br
2 2 2
Cartesian
0.000 0.000 0.000
2.407 2.407 5.966
0.000 0.000 7.810
2.407 2.407 1.843
0.000 0.000 4.747
2.407 2.407 10.714
```

## Properties
Energy relative to the elements, uncorrected = -0.916 eV/atom
Relative energy among the computed polymorphs = 0.2350 eV/atom